# 1
A plane-wave DFT calculation with GGA-PBE was carried out for an optimized crystal structure of LiAg2Pt5.

Calculated values
Space-group type: I4/mmm
Crystal system: tetragonal

```
LiAg2Pt5
1.0
3.8673 0.0000 -0.7500
-0.1454 3.8646 -0.7500
-0.3577 -0.3714 8.5017
Pt Ag Li
5 2 1
direct
0.8840 0.3840 0.7680
0.3840 0.8840 0.7680
0.5000 0.5000 0.0000
0.1160 0.6160 0.2320
0.6160 0.1160 0.2320
0.2507 0.2507 0.5014
0.7493 0.7493 0.4986
0.0000 0.0000 0.0000
```

=====

# 2
A plane-wave DFT calculation with GGA-PBE was carried out for an optimized crystal structure of LiAg2Pt.

Calculated values
Space-group type: Pmm2
Crystal system: orthorhombic

```
LiAg2Pt
1.0
-0.5852 -0.3763 -2.7400
2.7235 -2.9885 -0.1713
-4.0340 -3.7552 1.3772
Li Pt Ag
1 1 2
direct
0.0000 0.0000 0.5194
0.5000 0.5000 0.7354
0.5000 0.5000 0.2529
0.0000 0.0000 0.9923
```

=====

# 3
A plane-wave DFT calculation with GGA-PBE was carried out for an optimized crystal structure of LiAg2Pt.

Calculated values
Space-group type: Cmmm
Crystal system: orthorhombic

```
LiAg2Pt
1.0
4.7220 0.1421 0.0000
-1.3190 4.5362 0.0000
0.0000 0.0000 3.0044
Li Pt Ag
1 1 2
direct
0.5000 0.0000 0.5000
0.0000 0.5000 0.5000
0.5000 0.5000 0.0000
0.0000 0.0000 0.0000
```

=====

# 4
A plane-wave DFT calculation with GGA-PBE was carried out for an optimized crystal structure of Li4Ag10Pt.

Calculated values
Space-group type: I4/m
Crystal system: tetragonal

```
Li4Ag10Pt
1.0
6.4369 0.0000 2.9066
3.2185 6.2542 1.4533
0.6447 0.0000 7.1533
Ag Pt Li
10 1 4
direct
0.1922 0.3029 0.9108
0.4951 0.9108 0.6971
0.8971 0.9108 0.6971
0.8078 0.6971 0.0892
0.7500 0.5000 0.5000
0.4058 0.6971 0.0892
0.1029 0.0892 0.3029
0.2500 0.5000 0.5000
0.5942 0.3029 0.9108
0.5049 0.0892 0.3029
0.0000 0.0000 0.0000
0.2788 0.6592 0.7832
0.9380 0.7832 0.3408
0.7212 0.3408 0.2168
0.0620 0.2168 0.6592
```

=====

Number 1: total magnetic moment 0.00 μB/atom, calculated formation energy -1.444 eV/f.u.. Number 2: total magnetic moment 0.00 μB/atom, calculated formation energy -0.756 eV/f.u.. Number 3: total magnetic moment 0.00 μB/atom, calculated formation energy -0.819 eV/f.u.. Number 4: total magnetic moment 0.00 μB/atom, calculated formation energy 0.217 eV/f.u..